The following is a PBE with a Hubbard U calculation of a relaxed Rb2CoF6 crystal, from the Alexandria database.

Cell lengths 6.012, 7.315, 7.740 Å; angles 90.00, 90.00, 107.00 degrees
Sites, in units of the cell vectors:
Co1 0.500 0.000 0.500
F1 0.266 0.489 0.893
Rb1 0.139 0.320 0.568
F2 0.616 0.257 0.469
Rb2 0.639 0.820 0.932
F3 0.384 0.743 0.531
Rb3 0.361 0.180 0.068
Rb4 0.861 0.680 0.432
F4 0.121 0.459 0.206
F5 0.879 0.541 0.794
F6 0.379 0.041 0.706
F7 0.621 0.959 0.294
F8 0.116 0.757 0.031
F9 0.734 0.511 0.107
F10 0.234 0.011 0.393
F11 0.766 0.989 0.607
Co2 0.000 0.500 0.000
F12 0.884 0.243 0.969

Values from the calculation:
**E**: -4.280 eV/atom
**Mass density**: 3.51 g/cm³
**Space group**: P2_1/c